1.
! PmPrCrN4 PBE optimized geometry; values from VASP
&SYSTEM
  ibrav = 0, nat = 14, ntyp = 4
/
ATOMIC_SPECIES
Pr 140.91 Pr.upf
N 14.01 N.upf
Cr 52.00 Cr.upf
Pm 145.00 Pm.upf
CELL_PARAMETERS angstrom
-4.454 -3.326 1.079
2.975 -2.778 3.715
-0.258 5.500 4.320
ATOMIC_POSITIONS angstrom
Pr -1.218 0.664 7.603
N 2.760 -1.540 4.774
Pr -0.519 -1.269 1.511
N -4.497 0.936 4.339
N -2.048 -0.236 3.507
N 0.311 -0.369 5.606
Cr -2.847 0.612 4.782
N 0.248 -2.687 3.923
N -3.037 -0.427 6.163
N 1.300 -0.177 2.951
N -1.985 2.083 5.191
Cr 1.110 -1.216 4.332
Pm -1.412 -2.165 5.643
Pm -0.325 1.561 3.471
! **Volume**: 207 Å³ per cell
! **Crystal system**: monoclinic

2.
! PmPr2CrN4 PBE optimized geometry; values from VASP
&SYSTEM
  ibrav = 0, nat = 16, ntyp = 4
/
ATOMIC_SPECIES
Pr 140.91 Pr.upf
Cr 52.00 Cr.upf
N 14.01 N.upf
Pm 145.00 Pm.upf
CELL_PARAMETERS angstrom
-0.974 1.688 2.900
-5.132 -2.527 -2.359
1.983 -10.178 6.589
ATOMIC_POSITIONS angstrom
Pr -1.074 -4.259 4.222
Pr -3.049 -6.758 2.908
Cr -1.384 -3.107 1.343
N -2.351 -4.586 1.879
Pr -1.897 -0.037 1.489
N -2.789 -2.339 0.424
Pm 0.270 -7.998 4.745
N 0.991 -5.089 3.294
Pr -2.227 -10.979 5.641
N -0.963 -1.992 2.940
N 0.000 0.000 0.000
N -3.160 -9.025 4.190
N -1.772 -6.431 5.251
Cr -2.740 -7.909 5.787
N -1.335 -8.678 6.706
Pm -4.393 -3.019 2.385
! **Volume**: 255 Å³ per cell
! **Crystal system**: orthorhombic

3.
! Pm2PuCrN4 PBE optimized geometry; values from VASP
&SYSTEM
  ibrav = 0, nat = 16, ntyp = 4
/
ATOMIC_SPECIES
Pm 145.00 Pm.upf
N 14.01 N.upf
Pu 244.00 Pu.upf
Cr 52.00 Cr.upf
CELL_PARAMETERS angstrom
3.424 0.000 0.000
-1.712 5.848 0.000
0.000 0.000 12.086
ATOMIC_POSITIONS angstrom
Pm 0.000 4.305 11.563
N 0.000 3.184 1.661
N 0.000 0.000 6.043
N 1.712 2.664 7.704
Pu 1.712 4.616 3.021
N 0.000 0.000 0.000
N 1.712 2.664 10.425
Cr 1.712 3.902 9.064
Pm 0.000 4.305 6.565
Pu 0.000 1.232 9.064
Pm 1.712 1.543 5.520
Pm 1.712 1.543 0.523
Cr 0.000 1.946 3.021
N 0.000 3.184 4.382
N 1.712 0.939 3.021
N 0.000 4.909 9.064
! **Volume**: 242 Å³ per cell
! **Crystal system**: orthorhombic

4.
! PmPu2CrN4 PBE optimized geometry; values from VASP
&SYSTEM
  ibrav = 0, nat = 16, ntyp = 4
/
ATOMIC_SPECIES
Cr 52.00 Cr.upf
N 14.01 N.upf
Pu 244.00 Pu.upf
Pm 145.00 Pm.upf
CELL_PARAMETERS angstrom
-1.219 1.804 -2.596
-2.249 -5.528 -0.574
-9.112 3.043 6.395
ATOMIC_POSITIONS angstrom
Cr -3.174 -0.690 1.012
N 0.000 0.000 0.000
Pu -1.807 -0.178 -1.486
Pu -10.773 -0.503 4.712
N -7.652 0.627 1.820
Cr -9.405 0.009 2.214
N -4.556 1.521 3.197
Pu -7.095 -1.731 2.130
Pm -5.142 -1.986 -1.175
N -9.926 1.387 3.415
N -3.252 1.073 0.062
N -2.654 -2.068 -0.190
N -9.328 -1.754 3.163
Pm -7.438 1.305 4.401
Pu -5.485 1.050 1.095
N -4.928 -1.309 1.406
! **Volume**: 225 Å³ per cell
! **Crystal system**: orthorhombic

5.
! RbPmCrN3 PBE optimized geometry; values from VASP
&SYSTEM
  ibrav = 0, nat = 12, ntyp = 4
/
ATOMIC_SPECIES
N 14.01 N.upf
Cr 52.00 Cr.upf
Rb 85.47 Rb.upf
Pm 145.00 Pm.upf
CELL_PARAMETERS angstrom
-0.639 -3.502 1.159
6.703 0.119 -1.991
0.189 2.581 7.904
ATOMIC_POSITIONS angstrom
N -0.083 -0.877 3.351
Cr 6.073 -1.648 4.416
N 6.336 0.075 3.720
N 1.692 1.610 5.800
Cr 0.180 0.846 2.655
N 4.239 -1.248 4.613
Rb 1.440 -2.021 0.736
N 4.561 -2.413 1.272
N 2.014 0.446 2.458
Rb 4.813 1.218 6.336
Pm 4.413 -0.049 2.287
Pm 1.840 -0.754 4.785
! **Volume**: 203 Å³ per cell
! **Crystal system**: monoclinic

6.
! PmSc2CrN4 PBE optimized geometry; values from VASP
&SYSTEM
  ibrav = 0, nat = 16, ntyp = 4
/
ATOMIC_SPECIES
N 14.01 N.upf
Sc 44.96 Sc.upf
Pm 145.00 Pm.upf
Cr 52.00 Cr.upf
CELL_PARAMETERS angstrom
3.255 0.000 0.000
-1.627 5.572 0.000
0.000 0.000 10.995
ATOMIC_POSITIONS angstrom
N 1.627 2.640 6.807
Sc 1.627 1.443 5.037
N 1.627 2.640 9.685
N 0.000 0.000 0.000
N 0.000 2.932 4.188
N 0.000 4.736 8.246
Sc 1.627 1.443 0.460
N 0.000 0.000 5.497
Pm 0.000 1.037 8.246
Cr 1.627 3.701 8.246
N 0.000 2.932 1.309
Pm 1.627 4.534 2.749
Sc 0.000 4.128 10.535
N 1.627 0.836 2.749
Sc 0.000 4.128 5.957
Cr 0.000 1.870 2.749
! **Volume**: 199 Å³ per cell
! **Crystal system**: orthorhombic

7.
! PmSmCrN4 PBE optimized geometry; values from VASP
&SYSTEM
  ibrav = 0, nat = 14, ntyp = 4
/
ATOMIC_SPECIES
Pm 145.00 Pm.upf
N 14.01 N.upf
Sm 150.36 Sm.upf
Cr 52.00 Cr.upf
CELL_PARAMETERS angstrom
5.617 0.000 0.018
0.000 5.470 0.000
-2.176 0.000 6.552
ATOMIC_POSITIONS angstrom
Pm 3.443 4.102 3.061
N 1.029 4.102 3.632
N 1.290 1.367 5.583
N 2.412 1.367 2.938
N 2.151 4.102 0.988
N 3.784 2.713 5.029
N -0.343 5.448 1.542
N 3.784 0.022 5.029
Sm 2.029 4.102 6.161
N -0.343 2.756 1.542
Cr 0.682 4.102 1.937
Sm 1.412 1.367 0.409
Cr 2.759 1.367 4.633
Pm -0.002 1.367 3.509
! **Volume**: 202 Å³ per cell
! **Crystal system**: monoclinic

8.
! Pm2SmCrN4 PBE optimized geometry; values from VASP
&SYSTEM
  ibrav = 0, nat = 16, ntyp = 4
/
ATOMIC_SPECIES
Pm 145.00 Pm.upf
Cr 52.00 Cr.upf
N 14.01 N.upf
Sm 150.36 Sm.upf
CELL_PARAMETERS angstrom
-0.511 3.166 -1.292
-2.661 -3.897 -3.873
-10.286 0.868 6.195
ATOMIC_POSITIONS angstrom
Pm -1.469 1.009 -1.574
Pm -11.989 -0.872 2.604
Cr -9.924 0.684 0.972
N -10.167 -1.295 0.846
N -8.139 1.073 1.219
N 0.000 0.000 0.000
N -2.978 -1.133 -1.599
Cr -3.534 -0.546 0.058
Pm -7.731 -1.231 0.040
N -5.143 0.434 3.097
Sm -5.126 -0.024 -2.660
N -5.319 -0.935 -0.190
N -3.291 1.432 0.183
Sm -8.332 0.161 3.690
Pm -5.727 1.368 0.990
N -10.480 1.270 2.629
! **Volume**: 244 Å³ per cell
! **Crystal system**: orthorhombic

9.
! PmSmCrN3 PBE optimized geometry; values from VASP
&SYSTEM
  ibrav = 0, nat = 12, ntyp = 4
/
ATOMIC_SPECIES
N 14.01 N.upf
Pm 145.00 Pm.upf
Sm 150.36 Sm.upf
Cr 52.00 Cr.upf
CELL_PARAMETERS angstrom
3.458 0.000 0.000
0.000 7.446 0.953
0.000 -1.830 7.130
ATOMIC_POSITIONS angstrom
N 0.865 2.957 6.675
Pm 0.865 0.949 1.394
N 2.594 0.222 3.832
Sm 2.594 1.262 6.214
Cr 0.865 -0.484 4.322
N 0.865 -0.686 6.116
Cr 2.594 6.100 3.761
N 2.594 6.303 1.966
Pm 2.594 4.668 6.688
N 0.865 5.394 4.250
Sm 0.865 4.355 1.868
N 2.594 2.659 1.407
! **Volume**: 190 Å³ per cell
! **Crystal system**: monoclinic

10.
! SrPm2CrN4 PBE optimized geometry; values from VASP
&SYSTEM
  ibrav = 0, nat = 16, ntyp = 4
/
ATOMIC_SPECIES
Sr 87.62 Sr.upf
Cr 52.00 Cr.upf
Pm 145.00 Pm.upf
N 14.01 N.upf
CELL_PARAMETERS angstrom
3.515 0.000 0.000
-1.758 6.092 0.000
0.000 0.000 12.044
ATOMIC_POSITIONS angstrom
Sr 0.000 1.104 9.033
Cr 0.000 2.181 3.011
Pm 1.758 1.591 0.506
N 1.758 1.236 3.011
N 1.758 2.903 7.563
Pm 0.000 4.501 6.528
Cr 1.758 3.910 9.033
N 0.000 4.856 9.033
N 0.000 3.188 1.541
N 0.000 0.000 6.022
Pm 1.758 1.591 5.516
N 0.000 3.188 4.482
N 1.758 2.903 10.504
Sr 1.758 4.987 3.011
N 0.000 0.000 0.000
Pm 0.000 4.501 11.538
! **Volume**: 258 Å³ per cell
! **Crystal system**: orthorhombic

11.
! SrPmCrN3 PBE optimized geometry; values from VASP
&SYSTEM
  ibrav = 0, nat = 12, ntyp = 4
/
ATOMIC_SPECIES
Cr 52.00 Cr.upf
N 14.01 N.upf
Sr 87.62 Sr.upf
Pm 145.00 Pm.upf
CELL_PARAMETERS angstrom
3.801 0.000 0.000
-1.900 6.619 -0.022
0.000 -1.971 7.028
ATOMIC_POSITIONS angstrom
Cr 0.000 -1.356 5.012
N 0.000 1.381 2.401
N 1.900 4.339 1.307
N 1.900 -0.515 1.998
N 0.000 5.163 5.009
Sr 1.900 1.727 0.519
N 1.900 3.268 4.606
Cr 1.900 6.004 1.994
Sr 0.000 2.922 6.488
Pm 0.000 3.756 2.995
Pm 1.900 0.892 4.012
N 0.000 0.310 5.699
! **Volume**: 177 Å³ per cell
! **Crystal system**: monoclinic

12.
! SrPmCrN4 PBE optimized geometry; values from VASP
&SYSTEM
  ibrav = 0, nat = 14, ntyp = 4
/
ATOMIC_SPECIES
N 14.01 N.upf
Pm 145.00 Pm.upf
Cr 52.00 Cr.upf
Sr 87.62 Sr.upf
CELL_PARAMETERS angstrom
5.835 0.000 0.093
0.000 5.609 0.000
-2.177 0.000 6.783
ATOMIC_POSITIONS angstrom
N 1.200 4.206 3.775
Pm 0.066 1.402 3.767
N 2.146 4.206 1.138
Cr 0.697 4.206 2.121
N 2.459 1.402 3.102
Sr 1.523 1.402 0.529
N -0.352 2.848 1.872
N 4.010 0.044 5.005
Pm 3.592 4.206 3.110
N 4.010 2.760 5.005
Cr 2.962 1.402 4.756
N 1.512 1.402 5.739
Sr 2.135 4.206 6.348
N -0.352 5.565 1.872
! **Volume**: 223 Å³ per cell
! **Crystal system**: monoclinic

13.
! Pm2TaCrN5 PBE optimized geometry; values from VASP
&SYSTEM
  ibrav = 0, nat = 18, ntyp = 4
/
ATOMIC_SPECIES
Ta 180.95 Ta.upf
N 14.01 N.upf
Pm 145.00 Pm.upf
Cr 52.00 Cr.upf
CELL_PARAMETERS angstrom
3.280 0.000 0.000
-1.640 7.031 0.000
0.000 0.000 10.173
ATOMIC_POSITIONS angstrom
Ta 1.640 4.087 5.317
N 0.000 4.526 3.884
Pm 0.000 1.857 3.237
N 0.000 4.856 0.045
N 0.000 6.997 7.985
N 1.640 6.492 5.326
Pm 1.640 5.407 1.915
Ta 0.000 2.945 0.230
N 1.640 2.881 1.586
Cr 1.640 0.670 9.606
Cr 0.000 6.361 4.520
N 0.000 4.150 6.672
Pm 0.000 1.625 7.001
N 0.000 0.539 0.239
N 1.640 2.505 8.971
Pm 1.640 5.175 8.323
N 1.640 0.034 2.899
N 1.640 2.176 5.131
! **Volume**: 235 Å³ per cell
! **Crystal system**: orthorhombic

14.
! Pm2TaCr2N6 PBE optimized geometry; values from VASP
&SYSTEM
  ibrav = 0, nat = 11, ntyp = 4
/
ATOMIC_SPECIES
N 14.01 N.upf
Ta 180.95 Ta.upf
Pm 145.00 Pm.upf
Cr 52.00 Cr.upf
CELL_PARAMETERS angstrom
-1.963 -0.190 -5.426
2.538 -3.453 -3.868
-3.087 -5.105 -1.775
ATOMIC_POSITIONS angstrom
N -0.858 -6.518 -5.604
N -1.655 -2.232 -5.466
N -0.333 -4.030 -7.480
Ta 0.000 0.000 0.000
Pm -0.999 -2.627 -2.618
N 0.689 -3.931 -4.655
Pm -1.514 -6.122 -8.452
Cr -1.897 -5.135 -5.276
N -2.179 -4.719 -3.589
N -3.202 -4.818 -6.415
Cr -0.616 -3.614 -5.793
! **Volume**: 152 Å³ per cell
! **Crystal system**: trigonal

15.
! TbPm2CrN4 PBE optimized geometry; values from VASP
&SYSTEM
  ibrav = 0, nat = 16, ntyp = 4
/
ATOMIC_SPECIES
Cr 52.00 Cr.upf
Pm 145.00 Pm.upf
Tb 158.93 Tb.upf
N 14.01 N.upf
CELL_PARAMETERS angstrom
-2.340 -1.637 -1.897
4.064 -4.167 1.680
-6.457 -2.289 9.942
ATOMIC_POSITIONS angstrom
Cr -4.049 -5.919 7.005
Pm -3.356 -3.188 3.792
Cr -0.684 -2.174 2.721
Tb -4.186 -2.849 7.623
N -0.760 -3.542 3.994
N -3.229 -1.145 4.971
N 0.000 0.000 0.000
Pm -4.055 -5.855 10.056
N -2.345 -2.147 1.648
N -2.388 -5.946 8.077
Tb -0.547 -5.244 2.103
N -5.415 -5.063 7.951
Pm -0.678 -2.238 -0.330
Pm -1.377 -4.905 5.933
N -3.973 -4.551 5.731
N 0.682 -3.030 1.774
! **Volume**: 241 Å³ per cell
! **Crystal system**: orthorhombic

16.
! TbPmCrN3 PBE optimized geometry; values from VASP
&SYSTEM
  ibrav = 0, nat = 12, ntyp = 4
/
ATOMIC_SPECIES
N 14.01 N.upf
Cr 52.00 Cr.upf
Pm 145.00 Pm.upf
Tb 158.93 Tb.upf
CELL_PARAMETERS angstrom
3.430 0.000 0.000
0.000 7.344 0.868
0.000 -1.887 7.116
ATOMIC_POSITIONS angstrom
N 2.573 2.665 1.389
N 0.858 5.252 4.150
N 0.858 2.792 6.595
Cr 0.858 -0.525 4.320
Pm 2.573 4.511 6.575
N 2.573 6.183 1.866
Pm 0.858 0.946 1.409
Cr 2.573 5.982 3.664
Tb 2.573 1.139 6.214
N 2.573 0.204 3.834
N 0.858 -0.727 6.118
Tb 0.858 4.317 1.770
! **Volume**: 185 Å³ per cell
! **Crystal system**: monoclinic

17.
! TbPmCrN4 PBE optimized geometry; values from VASP
&SYSTEM
  ibrav = 0, nat = 14, ntyp = 4
/
ATOMIC_SPECIES
Pm 145.00 Pm.upf
Tb 158.93 Tb.upf
N 14.01 N.upf
Cr 52.00 Cr.upf
CELL_PARAMETERS angstrom
5.577 0.000 0.026
0.000 5.484 0.000
-2.152 0.000 6.449
ATOMIC_POSITIONS angstrom
Pm 2.027 4.113 6.046
Tb 3.443 4.113 3.001
N 1.097 4.113 3.637
Cr 0.690 4.113 1.973
Tb -0.018 1.371 3.473
N 3.784 0.025 4.871
Cr 2.735 1.371 4.502
N 2.138 4.113 0.995
N -0.358 5.460 1.604
N -0.358 2.767 1.604
N 1.287 1.371 5.480
Pm 1.398 1.371 0.429
N 3.784 2.717 4.871
N 2.328 1.371 2.837
! **Volume**: 198 Å³ per cell
! **Crystal system**: monoclinic

18.
! Pm2CrTc2N6 PBE optimized geometry; values from VASP
&SYSTEM
  ibrav = 0, nat = 11, ntyp = 4
/
ATOMIC_SPECIES
N 14.01 N.upf
Tc 98.00 Tc.upf
Cr 52.00 Cr.upf
Pm 145.00 Pm.upf
CELL_PARAMETERS angstrom
5.866 0.000 0.000
2.933 5.080 0.000
2.933 1.693 5.276
ATOMIC_POSITIONS angstrom
N 5.866 5.226 4.027
N 4.273 2.467 4.027
N 5.866 1.547 1.249
Tc 5.866 3.386 3.772
Cr 0.000 0.000 0.000
N 7.458 4.306 1.249
N 4.273 4.306 1.249
Tc 5.866 3.386 1.504
Pm 8.798 5.080 3.179
N 7.458 2.467 4.027
Pm 2.933 1.693 2.098
! **Volume**: 157 Å³ per cell
! **Crystal system**: trigonal

Number 1: formation energy (no corrections) -1.057 eV per atom. Number 2: formation energy (no corrections) -0.982 eV per atom. Number 3: formation energy (no corrections) -0.996 eV per atom. Number 4: formation energy (no corrections) -1.062 eV per atom. Number 5: formation energy (no corrections) -0.436 eV per atom. Number 6: formation energy (no corrections) -1.354 eV per atom. Number 7: formation energy (no corrections) -1.065 eV per atom. Number 8: formation energy (no corrections) -1.072 eV per atom. Number 9: formation energy (no corrections) -1.055 eV per atom. Number 10: formation energy (no corrections) -1.047 eV per atom. Number 11: formation energy (no corrections) -0.830 eV per atom. Number 12: formation energy (no corrections) -0.751 eV per atom. Number 13: formation energy (no corrections) -1.112 eV per atom. Number 14: formation energy (no corrections) -0.779 eV per atom. Number 15: formation energy (no corrections) -1.061 eV per atom. Number 16: formation energy (no corrections) -1.102 eV per atom. Number 17: formation energy (no corrections) -1.103 eV per atom. Number 18: formation energy (no corrections) -0.334 eV per atom.